Ba3Lu2Zn5O11: relaxed, PBEsol.

The structure in extended XYZ format:
```
42
Lattice="-3.483 -8.131 -3.399 -4.419 -6.053 5.799 -9.372 -1.224 -0.677" Properties=species:S:1:pos:R:3 pbc="T T T"
Ba -2.580 -3.172 2.466
Ba -4.621 -1.182 -0.203
Ba -4.015 -6.523 1.065
Ba -6.057 -4.533 -1.604
Ba -6.443 -3.676 2.187
Ba -2.194 -4.028 -1.325
Lu -12.889 -10.110 -2.235
Lu -15.793 -14.088 1.575
Lu -9.634 -13.283 2.021
Lu -13.504 -8.744 3.809
Zn -8.883 -5.538 0.347
Zn -8.570 -6.240 -2.709
Zn -10.047 -8.256 -0.789
Zn -9.193 -4.858 3.409
Zn -10.360 -7.561 2.286
Zn -5.275 -9.452 1.599
Zn -7.227 -7.152 2.512
Zn -11.509 -10.266 1.148
Zn -8.391 -9.870 1.376
Zn -6.914 -7.847 -0.562
O -5.207 -8.731 -0.195
O -9.165 -4.090 1.634
O -4.387 -5.350 4.084
O -8.674 -8.517 2.843
O -8.850 -4.789 -1.461
O -11.505 -9.554 -0.650
O -8.328 -9.284 -0.552
O -5.521 -8.034 2.891
O -6.690 -10.763 1.751
O -9.843 -11.174 1.523
O -7.043 -6.282 0.703
O -12.955 -11.556 1.292
O -7.758 -2.064 -0.323
O -7.503 -5.710 3.807
O -3.750 -6.764 -2.175
O -1.379 -1.230 0.138
O -10.018 -7.518 -2.601
O -10.648 -6.121 3.580
O -10.502 -6.734 0.453
O -11.819 -8.857 2.436
O -4.318 -3.852 0.431
O -6.874 -7.107 -2.374
```

Calculated values
Calculated density, g/cm³: 6.982
DOS(E_F), states/eV per atom: 0.00
SG: F-43m
Calculated volume, Å³/f.u.: 300.8
Energy relative to the elements, uncorrected, eV per atom: -2.339